CuTc2Ir, relaxed, DFT PBE; offset from the most stable computed form = 0.045 eV/atom; SG = P4/mmm, No. 123; ΔH_f (0 K) = 0.0871 eV/atom; V = 13.96 Å³ per atom; total magnetic moment = 0.00 μB per formula unit
1.0
-2.6579 -0.0402 -0.4437
-0.4352 -0.3436 2.6374
-0.2735 7.6234 0.9480
Cu Tc Ir
1 2 1
Cartesian
-1.6149 1.7140 1.3338
-0.0015 0.0408 0.0051
-0.1353 3.7709 0.4689
-1.7517 5.5257 1.8078